# 1
Sc3AlRh | PBE-GGA | relaxed

Cell lengths 4.959, 4.959, 4.959 Å; angles 90.00, 90.00, 90.00 degrees
Positions (direct):
Al 0.500 0.500 0.500
Sc 0.000 0.000 0.500
Sc 0.500 0.000 0.000
Sc 0.000 0.500 0.000
Rh 0.000 0.000 0.000

Computed properties:
calculated formation energy = -165 meV per atom

=====

# 2
CdInGe2Br | PBE-GGA | relaxed

Cell lengths 5.167, 6.000, 5.167 Å; angles 90.00, 90.00, 90.00 degrees
Positions (direct):
In 0.500 0.500 0.500
Cd 0.000 0.000 0.000
Ge 0.000 0.000 0.500
Ge 0.500 0.000 0.000
Br 0.000 0.500 0.000

Computed properties:
uncorrected formation energy = 10.82 kcal/mol of atoms

=====

# 3
Ba4Cd2P | PBE-GGA | relaxed

Cell lengths 6.273, 6.273, 9.656 Å; angles 108.95, 108.95, 90.00 degrees
Positions (direct):
Ba 0.819 0.819 0.638
Ba 0.000 0.500 0.000
Ba 0.181 0.181 0.362
Ba 0.500 0.000 0.000
Cd 0.611 0.611 0.223
Cd 0.389 0.389 0.777
P 0.000 0.000 0.000

Computed properties:
calculated formation energy = -375 meV per atom